A plane-wave DFT calculation with PBE was carried out for a relaxed RbCu4I6 crystal.

Output
symmetry: I-42m (121)
formation energy (no corrections): -208 meV/atom

abc: 7.279 7.279 10.266
angles: 110.76 110.76 90.00
Each line ends with the local moment (μB).
Atoms (fractional coordinates):
Cu (0.895, 0.895, 0.542)  0.03
Cu (0.354, 0.105, 0.458)  0.03
Cu (0.105, 0.354, 0.458)  0.03
Rb (0.500, 0.500, 0.000)  0.00
I (0.022, 0.627, 0.649)  0.03
Cu (0.646, 0.646, 0.542)  0.03
I (0.000, 0.500, 0.000)  0.14
I (0.627, 0.022, 0.649)  0.03
I (0.500, 0.000, 0.000)  0.14
I (0.978, 0.978, 0.351)  0.03
I (0.373, 0.373, 0.351)  0.03